a.
BeSiTeN2 (PBE, relaxed); symmetry = P4/mmm (123)
1.0
3.646 0.000 0.000
0.000 3.646 0.000
0.000 0.000 5.306
Be Si Te N
1 1 1 2
direct
0.000 0.000 0.000
0.500 0.500 0.500
0.000 0.000 0.500
0.000 0.500 0.000
0.500 0.000 0.000

=====

b.
BeSiTeN2 (PBE, relaxed); symmetry = P4/mmm (123)
1.0
3.456 0.000 0.000
0.000 3.456 0.000
0.000 0.000 7.082
Be Si Te N
1 1 1 2
direct
0.000 0.000 0.000
0.500 0.500 0.500
0.500 0.500 0.000
0.000 0.500 0.500
0.500 0.000 0.500

=====

Referenced to the most stable arrangement, the calculated values in eV/atom are a 0.779; b 0.000.

=====

a.
Be3SnN (PBE, relaxed); symmetry = Pm-3m (221)
1.0
4.521 0.000 0.000
0.000 4.521 0.000
0.000 0.000 4.521
Be Sn N
3 1 1
direct
0.000 0.000 0.500
0.000 0.500 0.000
0.500 0.000 0.000
0.000 0.000 0.000
0.500 0.500 0.500

=====

b.
Be3SnN (PBE, relaxed); symmetry = Pm-3m (221)
1.0
3.781 0.000 0.000
0.000 3.781 0.000
0.000 0.000 3.781
Be Sn N
3 1 1
direct
0.000 0.000 0.500
0.000 0.500 0.000
0.500 0.000 0.000
0.500 0.500 0.500
0.000 0.000 0.000

=====

Referenced to the most stable arrangement, the calculated values in eV/atom are a 1.785; b 0.000.

=====

a.
BeSn2N (PBE, relaxed); symmetry = I-42d (122)
1.0
-2.725 2.725 5.224
2.725 -2.725 5.224
2.725 2.725 -5.224
Be Sn N
2 4 2
direct
0.000 0.000 0.000
0.750 0.250 0.500
0.157 0.625 0.032
0.375 0.407 0.532
0.593 0.125 0.968
0.875 0.843 0.468
0.250 0.750 0.500
0.500 0.500 0.000

=====

b.
BeSn2N (PBE, relaxed); symmetry = Fm-3m (225)
1.0
0.000 3.212 3.212
3.212 0.000 3.212
3.212 3.212 0.000
Be Sn N
1 2 1
direct
0.000 0.000 0.000
0.250 0.250 0.250
0.750 0.750 0.750
0.500 0.500 0.500

=====

Referenced to the most stable arrangement, the calculated values in eV/atom are a 0.000; b 0.695.

=====

a.
BeSnTe2N (PBE, relaxed); symmetry = P4/mmm (123)
1.0
5.858 0.000 0.000
0.000 5.858 0.000
0.000 0.000 3.867
Be Sn Te N
1 1 2 1
direct
0.000 0.000 0.000
0.500 0.500 0.500
0.000 0.500 0.500
0.500 0.000 0.500
0.500 0.500 0.000

=====

b.
BeSnTe2N (PBE, relaxed); symmetry = P4/mmm (123)
1.0
5.878 0.000 0.000
0.000 5.878 0.000
0.000 0.000 3.135
Be Sn Te N
1 1 2 1
direct
0.000 0.000 0.000
0.500 0.500 0.500
0.000 0.500 0.000
0.500 0.000 0.000
0.000 0.000 0.500

=====

Referenced to the most stable arrangement, the calculated values in eV/atom are a 0.955; b 0.000.

=====

a.
Sr2BeN (PBE, relaxed); symmetry = Fm-3m (225)
1.0
0.000 3.501 3.501
3.501 0.000 3.501
3.501 3.501 0.000
Sr Be N
2 1 1
direct
0.250 0.250 0.250
0.750 0.750 0.750
0.000 0.000 0.000
0.500 0.500 0.500

=====

b.
Sr2BeN (PBE, relaxed); symmetry = I-42d (122)
1.0
-3.707 3.707 4.021
3.707 -3.707 4.021
3.707 3.707 -4.021
Sr Be N
4 2 2
direct
0.042 0.625 0.917
0.375 0.292 0.417
0.708 0.125 0.083
0.875 0.958 0.583
0.250 0.750 0.500
0.500 0.500 0.000
0.000 0.000 0.000
0.750 0.250 0.500

=====

Referenced to the most stable arrangement, the calculated values in eV/atom are a 0.268; b 0.000.

=====

a.
TaBeN (PBE, relaxed); symmetry = R3m (160)
1.0
1.466 0.846 8.220
-1.466 0.846 8.220
0.000 -1.693 8.220
Ta Be N
2 2 2
direct
0.000 0.000 0.000
0.434 0.434 0.434
0.249 0.249 0.249
0.843 0.843 0.843
0.173 0.173 0.173
0.606 0.606 0.606

=====

b.
TaBeN (PBE, relaxed); symmetry = Pmn2_1 (31)
1.0
2.911 0.000 0.000
0.000 4.302 0.000
0.000 0.000 4.730
Ta Be N
2 2 2
direct
0.000 0.117 0.000
0.500 0.883 0.500
0.000 0.370 0.511
0.500 0.630 0.011
0.000 0.625 0.809
0.500 0.375 0.309

=====

c.
TaBeN (PBE, relaxed); symmetry = C2/m (12)
1.0
2.511 -1.526 0.000
2.511 1.526 0.000
-0.798 0.000 8.736
Ta Be N
2 2 2
direct
0.224 0.224 0.348
0.776 0.776 0.652
0.154 0.154 0.913
0.846 0.846 0.087
0.189 0.189 0.121
0.811 0.811 0.879

=====

Referenced to the most stable arrangement, the calculated values in eV/atom are a 0.033; b 0.000; c 0.079.

=====

a.
TaBeN (PBE, relaxed); symmetry = R3m (160)
1.0
1.468 0.848 3.973
-1.468 0.848 3.973
0.000 -1.695 3.973
Ta Be N
1 1 1
direct
0.000 0.000 0.000
0.504 0.504 0.504
0.799 0.799 0.799

=====

b.
TaBeN (PBE, relaxed); symmetry = Cm (8)
1.0
2.490 -1.478 0.000
2.490 1.478 0.000
-2.385 0.000 8.693
Ta Be N
2 2 2
direct
0.000 0.000 0.000
0.658 0.658 0.291
0.548 0.548 0.762
0.785 0.785 0.562
0.411 0.411 0.465
0.880 0.880 0.754

=====

Referenced to the most stable arrangement, the calculated values in eV/atom are a 0.000; b 0.036.

=====

a.
TaBeN (PBE, relaxed); symmetry = Cm (8)
1.0
2.510 -1.480 0.000
2.510 1.480 0.000
-0.667 0.000 8.538
Ta Be N
2 2 2
direct
0.000 0.000 0.000
0.570 0.570 0.295
0.626 0.626 0.746
0.937 0.937 0.530
0.308 0.308 0.829
0.605 0.605 0.546

=====

b.
TaBeN (PBE, relaxed); symmetry = P-6m2 (187)
1.0
3.009 0.000 0.000
-1.504 2.606 0.000
0.000 0.000 4.187
Ta Be N
1 1 1
direct
0.000 0.000 0.000
0.333 0.667 0.500
0.000 0.000 0.500

=====

Referenced to the most stable arrangement, the calculated values in eV/atom are a 0.060; b 0.000.

=====

a.
TaBe3N (PBE, relaxed); symmetry = Pm-3m (221)
1.0
4.503 0.000 0.000
0.000 4.503 0.000
0.000 0.000 4.503
Ta Be N
1 3 1
direct
0.000 0.000 0.000
0.000 0.000 0.500
0.000 0.500 0.000
0.500 0.000 0.000
0.500 0.500 0.500

=====

b.
TaBe3N (PBE, relaxed); symmetry = Pm-3m (221)
1.0
3.674 0.000 0.000
0.000 3.674 0.000
0.000 0.000 3.674
Ta Be N
1 3 1
direct
0.000 0.000 0.000
0.000 0.500 0.500
0.500 0.000 0.500
0.500 0.500 0.000
0.500 0.500 0.500

=====

Referenced to the most stable arrangement, the calculated values in eV/atom are a 2.431; b 0.000.

=====

a.
TaBeTe2N (PBE, relaxed); symmetry = P4/mmm (123)
1.0
5.352 0.000 0.000
0.000 5.352 0.000
0.000 0.000 3.095
Ta Be Te N
1 1 2 1
direct
0.000 0.000 0.000
0.500 0.500 0.500
0.000 0.500 0.500
0.500 0.000 0.500
0.500 0.500 0.000

=====

b.
TaBeTe2N (PBE, relaxed); symmetry = P4/mmm (123)
1.0
5.529 0.000 0.000
0.000 5.529 0.000
0.000 0.000 3.884
Ta Be Te N
1 1 2 1
direct
0.000 0.000 0.000
0.500 0.500 0.500
0.000 0.500 0.000
0.500 0.000 0.000
0.000 0.000 0.500

=====

Referenced to the most stable arrangement, the calculated values in eV/atom are a 0.049; b 0.000.

=====

a.
BeTcN (PBE, relaxed); symmetry = P3m1 (156)
1.0
2.768 0.000 0.000
-1.384 2.397 0.000
0.000 0.000 4.824
Be Tc N
1 1 1
direct
0.000 0.000 0.000
0.333 0.667 0.594
0.000 0.000 0.333

=====

b.
BeTcN (PBE, relaxed); symmetry = Pm (6)
1.0
2.756 0.000 0.000
0.000 2.921 0.000
-0.982 0.000 3.611
Be Tc N
1 1 1
direct
0.000 0.000 0.000
0.583 0.500 0.437
0.225 0.500 0.861

=====

Referenced to the most stable arrangement, the calculated values in eV/atom are a 0.000; b 0.120.

=====

a.
BeTcN (PBE, relaxed); symmetry = Cm (8)
1.0
2.470 -1.341 0.000
2.470 1.341 0.000
-2.328 0.000 4.515
Be Tc N
1 1 1
direct
0.000 0.000 0.000
0.900 0.900 0.460
0.358 0.358 0.754

=====

b.
BeTcN (PBE, relaxed); symmetry = P4mm (99)
1.0
2.713 0.000 0.000
0.000 2.713 0.000
0.000 0.000 4.220
Be Tc N
1 1 1
direct
0.000 0.000 0.000
0.500 0.500 0.406
0.000 0.000 0.610

=====

Referenced to the most stable arrangement, the calculated values in eV/atom are a 0.000; b 0.039.